(1)
First-principles (PBE-GGA) data for crystalline NaMg6Pb5 at its relaxed geometry, as listed in Alexandria.

Values from the calculation:
uncorrected energy	-2.50	eV/atom
symmetry	Cmmm

a = 5.338 Å, b = 7.185 Å, c = 8.568 Å
α = 90.00°, β = 71.85°, γ = 90.00°
Fractional positions:
Mg1 0.175 0.767 0.650
Mg2 0.825 0.767 0.350
Mg3 0.500 0.730 0.000
Mg4 0.175 0.233 0.650
Mg5 0.825 0.233 0.350
Mg6 0.500 0.270 0.000
Pb1 0.670 0.500 0.660
Pb2 0.330 0.500 0.340
Pb3 0.000 0.500 0.000
Pb4 0.350 0.000 0.301
Pb5 0.650 0.000 0.699
Na1 0.000 0.000 0.000



(2)
First-principles (PBE-GGA) data for crystalline NaMg12Pb6 at its relaxed geometry, as listed in Alexandria.

Values from the calculation:
uncorrected energy	-2.21	eV/atom
symmetry	R-3m

a = 8.627 Å, b = 8.627 Å, c = 8.627 Å
α = 107.12°, β = 107.12°, γ = 107.12°
Fractional positions:
Mg1 0.603 0.832 0.603
Mg2 0.832 0.603 0.603
Mg3 0.168 0.397 0.397
Mg4 0.500 0.889 0.111
Mg5 0.603 0.603 0.832
Mg6 0.111 0.889 0.500
Mg7 0.397 0.168 0.397
Mg8 0.111 0.500 0.889
Mg9 0.889 0.111 0.500
Mg10 0.500 0.111 0.889
Mg11 0.889 0.500 0.111
Mg12 0.397 0.397 0.168
Na1 0.000 0.000 0.000
Pb1 0.279 0.740 0.279
Pb2 0.279 0.279 0.740
Pb3 0.740 0.279 0.279
Pb4 0.721 0.260 0.721
Pb5 0.721 0.721 0.260
Pb6 0.260 0.721 0.721



(3)
First-principles (PBE-GGA) data for crystalline Na8MgPb2 at its relaxed geometry, as listed in Alexandria.

Values from the calculation:
uncorrected energy	-1.77	eV/atom
symmetry	C2/m

a = 5.999 Å, b = 9.060 Å, c = 8.576 Å
α = 115.24°, β = 101.30°, γ = 106.93°
Fractional positions:
Na1 0.972 0.075 0.753
Na2 0.305 0.611 0.000
Na3 0.695 0.389 0.000
Na4 0.263 0.763 0.525
Na5 0.781 0.678 0.753
Na6 0.737 0.237 0.475
Na7 0.219 0.322 0.247
Na8 0.028 0.925 0.247
Mg1 0.500 0.000 0.000
Pb1 0.687 0.687 0.374
Pb2 0.313 0.313 0.626



(4)
First-principles (PBE-GGA) data for crystalline NaMg5Pb3 at its relaxed geometry, as listed in Alexandria.

Values from the calculation:
uncorrected energy	-2.33	eV/atom
symmetry	P6_3/mcm

a = 6.530 Å, b = 8.970 Å, c = 8.968 Å
α = 120.01°, β = 90.00°, γ = 90.00°
Fractional positions:
Pb1 0.250 0.332 0.000
Pb2 0.750 0.000 0.668
Pb3 0.250 0.668 0.668
Pb4 0.750 0.332 0.332
Pb5 0.250 0.000 0.332
Pb6 0.750 0.668 0.000
Mg1 0.750 0.660 0.660
Mg2 0.750 0.340 0.000
Mg3 0.000 0.333 0.667
Mg4 0.500 0.667 0.333
Mg5 0.250 0.000 0.660
Mg6 0.000 0.667 0.333
Mg7 0.500 0.333 0.667
Mg8 0.750 0.000 0.340
Mg9 0.250 0.660 0.000
Mg10 0.250 0.340 0.340
Na1 0.000 0.000 0.000
Na2 0.500 0.000 0.000



| no. | formation enthalpy at 0 K (eV/atom) |
| --- | --- |
| 1 | -0.048 |
| 2 | 0.035 |
| 3 | 0.009 |
| 4 | -0.059 |